Below is a geometry-optimized KB4Mo3O12 structure, with properties calculated at the GGA+U level.

Lattice parameters (Å, degrees): 6.3396 6.3396 6.3396 102.30 102.30 102.30
Closest atoms and distances in Å follow each position.
Atoms (fractional coordinates):
1 Mo 0.0000 0.5539 0.4461  6 O 2.02-2.16
2 O 0.7742 0.0122 0.5975  1 B 1.36
3 O 0.4025 0.9878 0.2258  1 B 1.36
4 O 0.3593 0.6407 0.5000  1 B 1.39
5 Mo 0.4461 0.0000 0.5539  6 O 2.02-2.16
6 O 0.5000 0.3593 0.6407  1 B 1.39
7 B 0.5000 0.9435 0.0565  3 O 1.36-1.44
8 O 0.5000 0.0890 0.9110  1 B 1.44
9 B 0.5000 0.5000 0.5000  3 O 1.39
10 O 0.5975 0.7742 0.0122  1 B 1.36
11 O 0.0890 0.9110 0.5000  1 B 1.44
12 O 0.9110 0.5000 0.0890  1 B 1.44
13 O 0.2258 0.4025 0.9878  1 B 1.36
14 B 0.0565 0.5000 0.9435  3 O 1.36-1.44
15 Mo 0.5539 0.4461 0.0000  6 O 2.02-2.16
16 K 0.0000 0.0000 0.0000  6 O 2.67
17 O 0.6407 0.5000 0.3593  1 B 1.39
18 O 0.0122 0.5975 0.7742  1 B 1.36
19 O 0.9878 0.2258 0.4025  1 B 1.36
20 B 0.9435 0.0565 0.5000  3 O 1.36-1.44

Results
D(E_F), states/eV/f.u.: 3.47
Electronic total energy, eV per atom: -7.48
Crystal system: trigonal
Magnetic moment, μB/f.u.: 7.00